# 1
# MnP2Au (meta-GGA SCAN, single point on PBEsol structure)
data_MnP2Au
_chemical_formula_sum 'Mn2 P4 Au2'
_space_group_name_H-M_alt 'A m m 2'
_space_group_IT_number 38
_space_group_name_Hall 'A 2 -2'
_cell_length_a 2.8017
_cell_length_b 2.7381
_cell_length_c 15.0310
_cell_angle_alpha 90.00
_cell_angle_beta 90.00
_cell_angle_gamma 90.00
loop_
_atom_site_label
_atom_site_type_symbol
_atom_site_fract_x
_atom_site_fract_y
_atom_site_fract_z
Mn1 Mn 0.0000 0.0000 0.0000
P1 P 0.0000 0.0000 0.3833
P2 P 0.5000 0.0000 0.5791
Au1 Au 0.5000 0.0000 0.7388
# - energy (eV/atom) = -26.982
# - DOS at the Fermi energy (states/eV/atom) = 0.653
# - total magnetic moment (μB per formula unit) = 0.0
# - ΔH_f (0 K) (eV/atom) = 0.07

---

# 2
# MnPAu2 (meta-GGA SCAN, single point on PBEsol structure)
data_MnPAu2
_chemical_formula_sum 'Mn3 P3 Au6'
_space_group_name_H-M_alt 'R -3 m'
_space_group_IT_number 166
_space_group_name_Hall '-R 3 2"'
_cell_length_a 3.0628
_cell_length_b 3.0628
_cell_length_c 23.9447
_cell_angle_alpha 90.00
_cell_angle_beta 90.00
_cell_angle_gamma 120.00
loop_
_atom_site_label
_atom_site_type_symbol
_atom_site_fract_x
_atom_site_fract_y
_atom_site_fract_z
Mn1 Mn 0.0000 0.0000 0.0000
P1 P 0.0000 0.0000 0.5000
Au1 Au 0.0000 0.0000 0.2498
# - energy (eV/atom) = -41.683
# - DOS at the Fermi energy (states/eV/atom) = 0.432
# - total magnetic moment (μB per formula unit) = 4.0
# - ΔH_f (0 K) (eV/atom) = 0.06

---

Question: Look up the total magnetic moment of the first one.
Answer: 0.0 μB per formula unit